Compound: Sr2Si2Br
Source: the Alexandria database
Functional: PBE
Structure: relaxed

Cell and atoms, written as extended XYZ:
```
5
Lattice="-2.9290 2.9290 4.8034 2.9290 -2.9290 4.8034 2.9290 2.9290 -4.8034" Properties=species:S:1:pos:R:3 pbc="T T T"
Sr 2.9290 0.0000 2.4017
Sr 0.0000 2.9290 2.4017
Si 0.0000 0.0000 1.0836
Si 0.0000 0.0000 8.5231
Br 0.0000 0.0000 4.8034
```

Uncorrected energy, eV/atom: -3.6364
DOS(E_F), states/eV per cell: 1.91
Total magnetic moment, μB/cell: 0.00
ρ, Mg/m³: 3.1
Space-group type: I4/mmm, No. 139